No. 1
{"formula": "Tb2Pm3Nd7", "functional": "PBE", "state": "optimized geometry", "e_form_ev_per_atom": 0.28, "relative_energy_mev_per_atom": 194.7, "energy_ev_per_atom": -4.4595, "vol_a3_per_cell": 436.1, "cell": [[-3.596, -2.086, 5.211], [3.036, -1.641, 5.703], [-1.171, 9.458, 7.241]], "species": ["Tb", "Tb", "Pm", "Pm", "Pm", "Nd", "Nd", "Nd", "Nd", "Nd", "Nd", "Nd"], "frac_coords": [[0.334, 0.334, 0.997], [0.666, 0.666, 0.003], [0.000, 0.000, 0.000], [0.152, 0.152, 0.545], [0.848, 0.848, 0.455], [0.500, 0.500, 0.500], [0.078, 0.587, 0.747], [0.587, 0.587, 0.747], [0.587, 0.078, 0.747], [0.922, 0.413, 0.253], [0.413, 0.922, 0.253], [0.413, 0.413, 0.253]]}



No. 2
{"formula": "Cu2TcAu", "functional": "PBE", "state": "optimized geometry", "e_form_ev_per_atom": 0.32, "relative_energy_mev_per_atom": 156.8, "energy_ev_per_atom": -5.1388, "vol_a3_per_cell": 57.4, "cell": [[-1.492, 0.142, 5.149], [-5.074, -1.055, 1.377], [4.702, -1.486, -2.107]], "species": ["Au", "Cu", "Cu", "Tc"], "frac_coords": [[0.759, 0.259, 0.500], [0.012, 0.012, 0.000], [0.240, 0.740, 0.500], [0.489, 0.489, 0.000]]}



No. 3
{"formula": "Ce6TcSn2", "functional": "PBE", "state": "optimized geometry", "e_form_ev_per_atom": -0.33, "relative_energy_mev_per_atom": 0.0, "energy_ev_per_atom": -6.3308, "vol_a3_per_cell": 480.4, "cell": [[-6.670, 0.632, -1.968], [-1.052, -6.762, 1.393], [-2.506, 2.294, 9.247]], "species": ["Ce", "Ce", "Ce", "Ce", "Ce", "Ce", "Ce", "Ce", "Ce", "Ce", "Ce", "Ce", "Tc", "Tc", "Sn", "Sn", "Sn", "Sn"], "frac_coords": [[0.000, 0.000, 0.230], [0.731, 0.731, 0.500], [0.770, 0.769, 0.000], [0.730, 0.269, 0.500], [0.769, 0.231, 0.000], [0.500, 0.500, 0.270], [0.000, 0.000, 0.770], [0.269, 0.269, 0.500], [0.230, 0.231, 0.000], [0.270, 0.731, 0.500], [0.231, 0.769, 0.000], [0.500, 0.500, 0.730], [0.500, 0.500, 0.000], [0.000, 0.000, 0.500], [0.000, 0.500, 0.750], [0.500, 0.000, 0.750], [0.500, 0.000, 0.250], [0.000, 0.500, 0.250]]}



No. 4
{"formula": "Na2FeS2", "functional": "PBE", "state": "optimized geometry", "energy_ev_per_atom": -4.3799, "vol_a3_per_cell": 185.6, "cell": [[-3.970, -3.799, -3.740], [-3.224, -2.002, 5.457], [-2.683, 3.206, -0.409]], "species": ["Na", "Na", "Na", "Na", "S", "S", "S", "S", "Fe", "Fe"], "frac_coords": [[0.142, 0.642, 0.500], [0.642, 0.858, 0.500], [0.858, 0.358, 0.500], [0.358, 0.142, 0.500], [0.320, 0.820, 0.000], [0.820, 0.680, 0.000], [0.680, 0.180, 0.000], [0.180, 0.320, 0.000], [0.000, 0.000, 0.000], [0.500, 0.500, 0.000]]}



No. 5
{"formula": "AlOsSCl2", "functional": "PBE", "state": "optimized geometry", "relative_energy_mev_per_atom": 484.8, "energy_ev_per_atom": -3.8791, "vol_a3_per_cell": 100.5, "cell": [[4.544, 0.000, 0.000], [0.000, 4.544, 0.000], [0.000, 0.000, 4.866]], "species": ["S", "Os", "Al", "Cl", "Cl"], "frac_coords": [[0.000, 0.000, 0.500], [0.500, 0.500, 0.500], [0.000, 0.000, 0.000], [0.000, 0.500, 0.000], [0.500, 0.000, 0.000]]}



No. 6
{"formula": "V3Fe2Co", "functional": "PBE", "state": "optimized geometry", "e_form_ev_per_atom": -0.10, "relative_energy_mev_per_atom": 0.0, "energy_ev_per_atom": -8.6637, "vol_a3_per_cell": 143.2, "cell": [[-1.773, -1.458, -3.352], [-3.771, -4.925, 1.675], [-4.426, 3.646, 0.755]], "species": ["V", "V", "V", "V", "V", "V", "Fe", "Fe", "Fe", "Fe", "Co", "Co"], "frac_coords": [[0.834, 0.331, 0.747], [0.500, 0.000, 0.252], [0.166, 0.669, 0.253], [0.834, 0.331, 0.253], [0.166, 0.669, 0.747], [0.500, 0.000, 0.748], [0.000, 0.000, 0.000], [0.000, 0.000, 0.500], [0.333, 0.334, 0.500], [0.667, 0.666, 0.500], [0.332, 0.336, 0.000], [0.668, 0.664, 0.000]]}



No. 7
{"formula": "Zr2BeCoN", "functional": "PBE", "state": "optimized geometry", "energy_ev_per_atom": -6.8578, "vol_a3_per_cell": 83.9, "cell": [[4.998, 0.000, 0.000], [0.000, 3.359, 0.000], [0.000, 0.000, 4.998]], "species": ["Be", "Co", "Zr", "Zr", "N"], "frac_coords": [[0.500, 0.500, 0.500], [0.000, 0.000, 0.000], [0.000, 0.000, 0.500], [0.500, 0.000, 0.000], [0.000, 0.500, 0.000]]}



No. 8
{"formula": "Cu2Au", "functional": "PBE", "state": "optimized geometry", "e_form_ev_per_atom": 0.29, "relative_energy_mev_per_atom": 323.8, "energy_ev_per_atom": -3.5365, "vol_a3_per_cell": 52.0, "cell": [[-3.703, -1.959, 0.096], [-0.647, -3.127, 2.714], [-2.579, 0.552, 3.257]], "species": ["Au", "Cu", "Cu"], "frac_coords": [[0.000, 0.000, 0.000], [0.750, 0.750, 0.750], [0.250, 0.250, 0.250]]}



Total magnetic moment for every record listed, in sequence, given in μB/f.u.: 0.00 0.93 2.87 3.37 3.75 3.33 0.00 0.00.